VASP calculation (PBE+U) on a relaxed CrPdI2O crystal.

```
CrPdI2O
1.0
5.689 0.000 0.000
0.000 5.689 0.000
0.000 0.000 3.866
I Cr O Pd
2 1 1 1
Cartesian
0.000 2.845 0.000
2.845 0.000 0.000
2.845 2.845 1.933
0.000 0.000 1.933
0.000 0.000 0.000
```

Output
The value obtained for the uncorrected energy is -4.09 eV per atom. For the density of states at the Fermi level, the calculation gives 6.15 states/eV/cell. As for the theoretical density: 5.68 g cm⁻³.